(1)
This record from the Alexandria database describes a relaxed structure of PrNd6Y12. The functional is PBE.

abc: 8.7482 8.7482 8.7482
angles: 79.75 79.75 79.75
Positions (direct):
Pr 0.0000 0.0000 0.0000
Nd 0.7707 0.7706 0.1649
Nd 0.8351 0.2293 0.2294
Nd 0.2294 0.8351 0.2293
Nd 0.2293 0.2294 0.8351
Nd 0.1649 0.7707 0.7706
Nd 0.7706 0.1649 0.7707
Y 0.8034 0.4836 0.4836
Y 0.4836 0.8034 0.4836
Y 0.4836 0.4836 0.8034
Y 0.1966 0.5164 0.5164
Y 0.5164 0.1966 0.5164
Y 0.5164 0.5164 0.1966
Y 0.1373 0.1373 0.4809
Y 0.8627 0.5191 0.8627
Y 0.5191 0.8627 0.8627
Y 0.8627 0.8627 0.5191
Y 0.1373 0.4809 0.1373
Y 0.4809 0.1373 0.1373

Values from the calculation:
Calculated formation energy in eV/atom: 0.11


(2)
This record from the Alexandria database describes a relaxed structure of GaOsO2F. The functional is PBE.

abc: 3.6835 3.6835 6.7767
angles: 90.00 90.00 90.00
Positions (direct):
Os 0.0000 0.0000 0.0000
O 0.0000 0.5000 0.0000
O 0.5000 0.0000 0.0000
Ga 0.5000 0.5000 0.5000
F 0.0000 0.0000 0.5000

Values from the calculation:
ΔE_f (raw) in eV per formula unit: -4.61


(3)
This record from the Alexandria database describes a relaxed structure of BaMg. The functional is PBE.

abc: 7.3254 7.3254 7.3254
angles: 146.83 129.57 61.70
Positions (direct):
Mg 0.9087 0.1587 0.2500
Mg 0.0913 0.8413 0.7500
Ba 0.3492 0.5992 0.2500
Ba 0.6508 0.4008 0.7500

Values from the calculation:
Calculated formation energy in eV/atom: -0.02


(4)
This record from the Alexandria database describes a relaxed structure of LiCu2Hg. The functional is PBE.

abc: 4.6024 4.6024 4.0378
angles: 63.99 63.99 52.00
Positions (direct):
Cu 0.0000 0.0000 0.0000
Cu 0.7500 0.7500 0.7500
Hg 0.5000 0.5000 0.5000
Li 0.2500 0.2500 0.2501

Values from the calculation:
Calculated formation energy in eV/atom: -0.05


(5)
This record from the Alexandria database describes a relaxed structure of BaCo2OsC. The functional is PBE.

abc: 4.8433 4.3847 4.8433
angles: 90.00 90.00 90.00
Last column: magnetic moment on the atom in μB.
Positions (direct):
Co 0.0000 0.0000 0.5000  1.50
Co 0.5000 0.0000 0.0000  1.63
C 0.0000 0.5000 0.0000  0.16
Os 0.5000 0.5000 0.5000  2.30
Ba 0.0000 0.0000 0.0000  -0.09

Values from the calculation:
Calculated formation energy in eV/atom: 3.36


(6)
This record from the Alexandria database describes a relaxed structure of LiPrSm2Au4. The functional is PBE.

abc: 5.1001 5.1001 8.9220
angles: 73.39 73.39 60.00
Positions (direct):
Li 0.5000 0.5000 0.5000
Pr 0.0000 0.0000 0.0000
Sm 0.7597 0.7597 0.7208
Sm 0.2403 0.2403 0.2792
Au 0.3836 0.3836 0.8492
Au 0.8789 0.8789 0.3632
Au 0.1211 0.1211 0.6368
Au 0.6164 0.6164 0.1508

Values from the calculation:
Calculated formation energy in eV/atom: -0.71


(7)
This record from the Alexandria database describes a relaxed structure of PmAl4Ni2Pt. The functional is PBE.

abc: 4.1497 4.1497 9.3167
angles: 77.13 77.13 60.00
Positions (direct):
Pm 0.0000 0.0000 0.0000
Al 0.4054 0.4054 0.7839
Al 0.8703 0.8703 0.3890
Al 0.1297 0.1297 0.6110
Al 0.5946 0.5946 0.2161
Ni 0.7694 0.7694 0.6918
Ni 0.2306 0.2306 0.3082
Pt 0.5000 0.5000 0.5000

Values from the calculation:
Calculated formation energy in eV/atom: -0.64


(8)
This record from the Alexandria database describes a relaxed structure of CrCuSeN2. The functional is PBE.

abc: 3.6003 3.6003 5.3168
angles: 90.00 90.00 90.00
Positions (direct):
Cr 0.0000 0.0000 0.0000
Cu 0.5000 0.5000 0.5000
Se 0.0000 0.0000 0.5000
N 0.0000 0.5000 0.0000
N 0.5000 0.0000 0.0000

Values from the calculation:
ΔE_f (raw) in eV per formula unit: 2.38


(9)
This record from the Alexandria database describes a relaxed structure of NaCu2TcNi. The functional is PBE.

abc: 4.3184 4.3752 4.3184
angles: 90.00 90.00 90.00
Last column: magnetic moment on the atom in μB.
Positions (direct):
Ni 0.0000 0.5000 0.0000  0.68
Tc 0.5000 0.5000 0.5000  2.71
Cu 0.0000 0.0000 0.5000  0.02
Cu 0.5000 0.0000 0.0000  0.08
Na 0.0000 0.0000 0.0000  -0.03

Values from the calculation:
Calculated formation energy in eV/atom: 1.66


(10)
This record from the Alexandria database describes a relaxed structure of AlH7C2SCl4. The functional is PBE.

abc: 11.4645 12.8304 15.1397
angles: 90.72 90.00 90.00
Positions (direct):
Al 0.2122 0.6129 0.3746
Al 0.7122 0.8871 0.6254
Al 0.7878 0.3871 0.6254
Al 0.2878 0.1129 0.3746
Al 0.7488 0.4539 0.1267
Al 0.2488 0.0461 0.8733
Al 0.2512 0.5461 0.8733
Al 0.7512 0.9539 0.1267
H 0.6316 0.6667 0.4849
H 0.1316 0.8333 0.5151
H 0.3684 0.3333 0.5151
H 0.8684 0.1667 0.4849
H 0.1161 0.8354 0.2307
H 0.6161 0.6646 0.7693
H 0.8839 0.1646 0.7693
H 0.3839 0.3354 0.2307
H 0.5022 0.7542 0.3557
H 0.0022 0.7458 0.6443
H 0.4978 0.2458 0.6443
H 0.9978 0.2542 0.3557
H 0.6499 0.8049 0.3605
H 0.1499 0.6951 0.6395
H 0.3501 0.1951 0.6395
H 0.8501 0.3049 0.3605
H 0.6053 0.7201 0.2708
H 0.1053 0.7799 0.7292
H 0.3947 0.2799 0.7292
H 0.8947 0.2201 0.2708
H 0.8237 0.5592 0.4303
H 0.3237 0.9408 0.5697
H 0.1763 0.4408 0.5697
H 0.6763 0.0592 0.4303
H 0.8058 0.5993 0.3175
H 0.3058 0.9007 0.6825
H 0.1942 0.4007 0.6825
H 0.6942 0.0993 0.3175
H 0.8287 0.6961 0.4037
H 0.3287 0.8039 0.5963
H 0.1713 0.3039 0.5963
H 0.6713 0.1961 0.4037
H 0.3071 0.9273 0.1590
H 0.8071 0.5727 0.8410
H 0.6929 0.0727 0.8410
H 0.1929 0.4273 0.1590
H 0.3075 0.7864 0.1483
H 0.8075 0.7136 0.8517
H 0.6925 0.2136 0.8517
H 0.1925 0.2864 0.1483
H 0.2822 0.8671 0.0529
H 0.7822 0.6329 0.9471
H 0.7178 0.1329 0.9471
H 0.2178 0.3671 0.0529
H 0.9768 0.7289 0.1174
H 0.4768 0.7711 0.8826
H 0.0232 0.2711 0.8826
H 0.5232 0.2289 0.1174
H 0.0757 0.7441 0.0266
H 0.5757 0.7559 0.9734
H 0.9243 0.2559 0.9734
H 0.4243 0.2441 0.0266
H 0.1237 0.6762 0.1237
H 0.6237 0.8238 0.8763
H 0.8763 0.3238 0.8763
H 0.3763 0.1762 0.1237
C 0.5943 0.7391 0.3411
C 0.0943 0.7609 0.6589
C 0.4057 0.2609 0.6589
C 0.9057 0.2391 0.3411
C 0.7906 0.6202 0.3869
C 0.2906 0.8798 0.6131
C 0.2094 0.3798 0.6131
C 0.7094 0.1202 0.3869
C 0.2703 0.8594 0.1244
C 0.7703 0.6406 0.8756
C 0.7297 0.1406 0.8756
C 0.2297 0.3594 0.1244
C 0.0685 0.7388 0.0986
C 0.5685 0.7612 0.9014
C 0.9315 0.2612 0.9014
C 0.4315 0.2388 0.0986
S 0.6347 0.6242 0.4012
S 0.1347 0.8758 0.5988
S 0.3653 0.3758 0.5988
S 0.8653 0.1242 0.4012
S 0.1153 0.8625 0.1437
S 0.6153 0.6375 0.8563
S 0.8847 0.1375 0.8563
S 0.3847 0.3625 0.1437
Cl 0.3287 0.6200 0.4869
Cl 0.8287 0.8800 0.5131
Cl 0.6713 0.3800 0.5131
Cl 0.1713 0.1200 0.4869
Cl 0.3118 0.6066 0.2542
Cl 0.8118 0.8934 0.7458
Cl 0.6882 0.3934 0.7458
Cl 0.1882 0.1066 0.2542
Cl 0.0983 0.4815 0.3843
Cl 0.5983 0.0185 0.6157
Cl 0.9017 0.5185 0.6157
Cl 0.4017 0.9815 0.3843
Cl 0.1092 0.7569 0.3756
Cl 0.6092 0.7431 0.6244
Cl 0.8908 0.2431 0.6244
Cl 0.3908 0.2569 0.3756
Cl 0.9247 0.3950 0.1307
Cl 0.4247 0.1050 0.8693
Cl 0.0753 0.6050 0.8693
Cl 0.5753 0.8950 0.1307
Cl 0.6536 0.4010 0.2414
Cl 0.1536 0.0990 0.7586
Cl 0.3464 0.5990 0.7586
Cl 0.8464 0.9010 0.2414
Cl 0.7543 0.6228 0.1319
Cl 0.2543 0.8772 0.8681
Cl 0.2457 0.3772 0.8681
Cl 0.7457 0.1228 0.1319
Cl 0.6631 0.4049 0.0067
Cl 0.1631 0.0951 0.9933
Cl 0.3369 0.5951 0.9933
Cl 0.8369 0.9049 0.0067


(11)
This record from the Alexandria database describes a relaxed structure of Li2Sc2Ag. The functional is PBE.

abc: 6.4562 6.4562 4.7284
angles: 90.00 90.00 90.00
Last column: magnetic moment on the atom in μB.
Positions (direct):
Sc 0.1809 0.6809 0.5000  0.35
Sc 0.6809 0.8191 0.5000  0.34
Sc 0.8191 0.3191 0.5000  0.35
Sc 0.3191 0.1809 0.5000  0.34
Ag 0.0000 0.0000 0.0000  0.01
Ag 0.5000 0.5000 0.0000  0.01
Li 0.3687 0.8687 0.0000  0.02
Li 0.8687 0.6313 0.0000  0.03
Li 0.6313 0.1313 0.0000  0.02
Li 0.1313 0.3687 0.0000  0.03

Values from the calculation:
Calculated formation energy in eV/atom: 0.09


(12)
This record from the Alexandria database describes a relaxed structure of TiSbO3. The functional is PBE.

abc: 4.0973 4.0977 4.0979
angles: 88.99 88.99 88.99
Last column: magnetic moment on the atom in μB.
Positions (direct):
Ti 0.5564 0.5564 0.5564  -0.82
Sb 0.9563 0.9563 0.9563  -0.04
O 0.6086 0.0770 0.6087  0.01
O 0.0770 0.6086 0.6087  0.01
O 0.6086 0.6086 0.0770  0.01

Values from the calculation:
ΔE_f (raw) in eV per formula unit: -9.85


no.,total magnetic moment (μB per atom),electronic total energy (eV/atom)
1,0.000,-5.7336
2,0.000,-6.1316
3,0.000,-1.7781
4,0.000,-2.6525
5,1.144,-3.9574
6,0.000,-4.3690
7,0.000,-5.3078
8,0.000,-6.2953
9,0.724,-3.4673
10,0.000,-4.4585
11,0.269,-3.7800
12,0.197,-7.3481